No. 1
# FeRhAu2 GGA-PBE optimized geometry
# - crystal system = monoclinic
# - formation enthalpy at 0 K (eV/atom) = 0.17
# - E (hartree per atom) = -0.199
# - ρ (Mg/m³) = 14.440
# - SG = C2/m, No. 12
data_FeRhAu2
_chemical_formula_sum 'Fe1 Rh1 Au2'
_cell_length_a 4.925
_cell_length_b 4.925
_cell_length_c 4.678
_cell_angle_alpha 77.65
_cell_angle_beta 77.65
_cell_angle_gamma 35.08
_symmetry_space_group_name_H-M 'P 1'
_symmetry_Int_Tables_number 1
_symmetry_space_group_name_Hall 'P 1'
loop_
_atom_site_label
_atom_site_type_symbol
_atom_site_fract_x
_atom_site_fract_y
_atom_site_fract_z
_atom_site_occupancy
Au1 Au 0.005 0.005 0.996 1
Au2 Au 0.495 0.495 0.504 1
Fe1 Fe 0.750 0.750 0.750 1
Rh1 Rh 0.250 0.250 0.250 1

=====

No. 2
# FeRh2Au GGA-PBE optimized geometry
# - crystal system = trigonal
# - formation enthalpy at 0 K (eV/atom) = 0.06
# - E (hartree per atom) = -0.241
# - ρ (Mg/m³) = 12.769
# - SG = R-3m, No. 166
data_FeRh2Au
_chemical_formula_sum 'Fe1 Rh2 Au1'
_cell_length_a 9.020
_cell_length_b 9.020
_cell_length_c 9.020
_cell_angle_alpha 17.76
_cell_angle_beta 17.76
_cell_angle_gamma 17.76
_symmetry_space_group_name_H-M 'P 1'
_symmetry_Int_Tables_number 1
_symmetry_space_group_name_Hall 'P 1'
loop_
_atom_site_label
_atom_site_type_symbol
_atom_site_fract_x
_atom_site_fract_y
_atom_site_fract_z
_atom_site_occupancy
Au1 Au 0.250 0.250 0.250 1
Fe1 Fe 0.750 0.750 0.750 1
Rh1 Rh 0.008 0.008 0.008 1
Rh2 Rh 0.492 0.492 0.492 1

=====

No. 3
# Fe2RhAu GGA-PBE optimized geometry
# - crystal system = tetragonal
# - formation enthalpy at 0 K (eV/atom) = 0.46
# - E (hartree per atom) = -0.236
# - ρ (Mg/m³) = 10.777
# - SG = I-42d, No. 122
data_Fe2RhAu
_chemical_formula_sum 'Fe4 Rh2 Au2'
_cell_length_a 6.894
_cell_length_b 6.894
_cell_length_c 5.557
_cell_angle_alpha 51.67
_cell_angle_beta 51.67
_cell_angle_gamma 90.00
_symmetry_space_group_name_H-M 'P 1'
_symmetry_Int_Tables_number 1
_symmetry_space_group_name_Hall 'P 1'
loop_
_atom_site_label
_atom_site_type_symbol
_atom_site_fract_x
_atom_site_fract_y
_atom_site_fract_z
_atom_site_occupancy
Rh1 Rh 0.500 0.500 0.000 1
Rh2 Rh 0.250 0.750 0.500 1
Au1 Au 0.000 0.000 0.000 1
Au2 Au 0.750 0.250 0.500 1
Fe1 Fe 0.609 0.125 0.250 1
Fe2 Fe 0.141 0.625 0.250 1
Fe3 Fe 0.375 0.391 0.750 1
Fe4 Fe 0.875 0.859 0.750 1